Entry 1:
VASP calculation (PBE-GGA) on a relaxed structure of Sr3Cl2.

Output
Density = 2.6 Mg/m³
Space-group type = No. 43

Geometry as POSCAR:
```
Sr3Cl2
1.0
0.000 8.815 3.966
6.106 0.000 3.966
6.106 8.815 0.000
Sr Cl
6 4
Direct
0.000 0.000 0.000
0.250 0.250 0.250
0.435 0.600 0.688
0.562 0.973 0.815
0.600 0.435 0.277
0.973 0.562 0.650
0.036 0.729 0.837
0.413 0.853 0.214
0.729 0.036 0.397
0.853 0.413 0.521
```

Entry 2:
VASP calculation (PBE-GGA) on a relaxed structure of Sr4Cl.

Output
Density = 2.8 Mg/m³
Space-group type = No. 87
ΔE to the lowest computed polymorph = 49 meV/atom

Geometry as POSCAR:
```
Sr4Cl
1.0
10.588 0.000 0.000
0.000 10.588 0.000
0.000 0.000 4.056
Sr Cl
8 2
Direct
0.070 0.265 0.000
0.235 0.570 0.500
0.265 0.930 0.000
0.430 0.235 0.500
0.570 0.765 0.500
0.735 0.070 0.000
0.765 0.430 0.500
0.930 0.735 0.000
0.000 0.000 0.500
0.500 0.500 0.000
```

Entry 3:
VASP calculation (PBE-GGA) on a relaxed structure of SrTa3Cl.

Output
Density = 8.6 Mg/m³
Space-group type = No. 221
ΔE to the lowest computed polymorph = 2097 meV/atom

Geometry as POSCAR:
```
SrTa3Cl
1.0
5.047 0.000 0.000
0.000 5.047 0.000
0.000 0.000 5.047
Sr Ta Cl
1 3 1
Direct
0.000 0.000 0.000
0.000 0.000 0.500
0.000 0.500 0.000
0.500 0.000 0.000
0.500 0.500 0.500
```

Entry 4:
VASP calculation (PBE-GGA) on a relaxed structure of Sr4TaCl.

Output
Density = 3.7 Mg/m³
Space-group type = No. 216

Geometry as POSCAR:
```
Sr4TaCl
1.0
0.000 5.046 5.046
5.046 0.000 5.046
5.046 5.046 0.000
Sr Ta Cl
4 1 1
Direct
0.124 0.124 0.124
0.124 0.124 0.628
0.124 0.628 0.124
0.628 0.124 0.124
0.750 0.750 0.750
0.500 0.500 0.500
```

Entry 5:
VASP calculation (PBE-GGA) on a relaxed structure of SrTa2Cl.

Output
Density = 8.3 Mg/m³
Space-group type = No. 38
ΔE to the lowest computed polymorph = 9 meV/atom

Geometry as POSCAR:
```
SrTa2Cl
1.0
3.417 0.000 0.000
0.000 3.551 0.000
0.000 0.000 15.948
Sr Ta Cl
2 4 2
Direct
0.000 0.000 0.000
0.000 0.500 0.500
0.000 0.000 0.770
0.000 0.500 0.270
0.500 0.000 0.345
0.500 0.500 0.845
0.500 0.000 0.619
0.500 0.500 0.119
```

Entry 6:
VASP calculation (PBE-GGA) on a relaxed structure of SrTaCl2.

Output
Density = 5.4 Mg/m³
Space-group type = No. 160
ΔE to the lowest computed polymorph = 0 meV/atom

Geometry as POSCAR:
```
SrTaCl2
1.0
3.509 0.000 0.000
-1.754 3.039 0.000
0.000 0.000 29.486
Sr Ta Cl
3 3 6
Direct
0.000 0.000 0.000
0.333 0.667 0.667
0.667 0.333 0.333
0.000 0.000 0.238
0.333 0.667 0.904
0.667 0.333 0.571
0.000 0.000 0.518
0.000 0.000 0.732
0.333 0.667 0.184
0.333 0.667 0.399
0.667 0.333 0.065
0.667 0.333 0.851
```

| no. | raw formation energy (eV per atom) | uncorrected energy (eV per atom) |
| --- | --- | --- |
| 1 | -1.236 | -2.98 |
| 2 | -0.546 | -2.26 |
| 3 | 3.119 | -4.70 |
| 4 | 0.860 | -2.54 |
| 5 | -0.058 | -6.87 |
| 6 | -0.653 | -4.96 |